Computed, not measured: a geometry-optimized CeCo3Hg2F12 structure at the GGA+U level of DFT.

Properties
magnetization = 8.866 μB per formula unit
space group = No. 166
E_tot = -84.79 eV for the cell shown

Unit cell a=7.9522 b=7.9522 c=7.9522 alpha=56.77 beta=56.77 gamma=56.77
Last column: nearest neighbours and their distance in Å.
Positions (direct):
Ce (0.0000, 0.0000, 0.0000)  6 F 2.18
Co (0.0000, 0.0000, 0.5000)  6 F 1.99-2.09
Co (0.0000, 0.5000, 0.0000)  6 F 1.99-2.09
Co (0.5000, 0.0000, 0.0000)  6 F 1.99-2.09
Hg (0.4307, 0.4307, 0.4307)  1 Hg 2.76, 3 F 2.92
Hg (0.5693, 0.5693, 0.5693)  1 Hg 2.76, 3 F 2.92
F (0.0710, 0.0710, 0.6662)  1 Co 2.09, 1 Ce 2.18
F (0.0710, 0.6662, 0.0710)  1 Co 2.09, 1 Ce 2.18
F (0.0744, 0.6931, 0.6931)  2 Co 1.99
F (0.3069, 0.3069, 0.9256)  2 Co 1.99
F (0.3069, 0.9256, 0.3069)  2 Co 1.99
F (0.3338, 0.9290, 0.9290)  1 Co 2.09, 1 Ce 2.18
F (0.6662, 0.0710, 0.0710)  1 Co 2.09, 1 Ce 2.18
F (0.6931, 0.0744, 0.6931)  2 Co 1.99
F (0.6931, 0.6931, 0.0744)  2 Co 1.99
F (0.9256, 0.3069, 0.3069)  2 Co 1.99
F (0.9290, 0.3338, 0.9290)  1 Co 2.09, 1 Ce 2.18
F (0.9290, 0.9290, 0.3338)  1 Co 2.09, 1 Ce 2.18